[1]
Here is a geometry-optimized Al2IrRu structure from Alexandria. Energies are from PBE.

a = 4.9343 Å, b = 4.9343 Å, c = 4.9343 Å
α = 145.15°, β = 121.70°, γ = 69.75°
Last column: nearest neighbours and their distance in Å.
Sites, in units of the cell vectors:
1 Ru 0.2500 0.7500 0.5000  4 Al 2.49
2 Ir 0.7500 0.2500 0.5000  4 Al 2.52
3 Al 0.0017 0.0017 0.0000  2 Ru 2.49, 2 Ir 2.52
4 Al 0.4983 0.4983 0.0000  2 Ru 2.49, 2 Ir 2.52

Summary:
The calculation puts the calculated volume at 14.4 A^3/atom. The calculation puts the energy of formation at -0.44 eV/atom. The calculation puts the density at 10.028 g/cm³. Its space group is No. 71.

=====

[2]
Here is a geometry-optimized Pr2AlS structure from Alexandria. Energies are from PBE.

a = 4.3157 Å, b = 4.0784 Å, c = 12.1842 Å
α = 99.63°, β = 90.00°, γ = 90.00°
Last column: nearest neighbours and their distance in Å.
Sites, in units of the cell vectors:
1 Pr 0.7500 0.6890 0.3781  5 S 2.84-2.97
2 Pr 0.2500 0.3110 0.6219  5 S 2.84-2.97
3 Pr 0.7500 0.9254 0.8508  1 S 2.84, 4 Al 3.13
4 Pr 0.2500 0.0746 0.1492  1 S 2.84, 4 Al 3.13
5 Al 0.2500 0.4665 0.9330  2 Al 2.69
6 Al 0.7500 0.5335 0.0670  2 Al 2.69
7 S 0.2500 0.1929 0.3857  6 Pr 2.84-2.97
8 S 0.7500 0.8071 0.6143  6 Pr 2.84-2.97

Summary:
The calculation puts the calculated volume at 26.4 A^3/atom. As for the energy above the most stable polymorph in this dataset: 0 meV/atom. The calculation puts the density at 5.354 g/cm³. Its space group is No. 63. The calculation puts the uncorrected formation energy at -1190 meV per atom.

=====

Please write out number 1 again, unchanged.
Here is a geometry-optimized Al2IrRu structure from Alexandria. Energies are from PBE.

a = 4.9343 Å, b = 4.9343 Å, c = 4.9343 Å
α = 145.15°, β = 121.70°, γ = 69.75°
Last column: nearest neighbours and their distance in Å.
Sites, in units of the cell vectors:
1 Ru 0.2500 0.7500 0.5000  4 Al 2.49
2 Ir 0.7500 0.2500 0.5000  4 Al 2.52
3 Al 0.0017 0.0017 0.0000  2 Ru 2.49, 2 Ir 2.52
4 Al 0.4983 0.4983 0.0000  2 Ru 2.49, 2 Ir 2.52

Summary:
The calculation puts the calculated volume at 14.4 A^3/atom. The calculation puts the energy of formation at -0.44 eV/atom. The calculation puts the density at 10.028 g/cm³. Its space group is No. 71.

=====

Q: Which value of calculated volume does entry 2 give?
A: 26.4 A^3/atom

=====

Q: Look up the density of the first one.
A: 10.028 g/cm³